Density functional theory data (PBE-GGA) for a relaxed CrSi3Au crystal.

Computed properties:
- DOS(E_F): 0.80 states/eV per atom
- Formation energy from raw total energies: 421 meV/atom
- Mass density: 6.2 g/cm³
- Total energy: -5.413 eV/atom
- Crystal system: cubic

a = 4.472 Å, b = 4.472 Å, c = 4.472 Å
α = 90.00°, β = 90.00°, γ = 90.00°
Fractional positions:
Cr  0.000  0.000  0.000
Si  0.000  0.000  0.500
Si  0.000  0.500  0.000
Si  0.500  0.000  0.000
Au  0.500  0.500  0.500

***

Density functional theory data (PBE-GGA) for a relaxed CrSi2Au crystal.

Computed properties:
- DOS(E_F): 1.91 states/eV per atom
- Formation energy from raw total energies: 419 meV/atom
- Mass density: 8.9 g/cm³
- Total energy: -5.518 eV/atom
- Crystal system: cubic

a = 4.315 Å, b = 4.315 Å, c = 4.315 Å
α = 60.00°, β = 60.00°, γ = 60.00°
Fractional positions:
Cr  0.000  0.000  0.000
Si  0.250  0.250  0.250
Si  0.750  0.750  0.750
Au  0.500  0.500  0.500

***

Density functional theory data (PBE-GGA) for a relaxed CrSi2Au crystal.

Computed properties:
- DOS(E_F): 0.70 states/eV per atom
- Formation energy from raw total energies: 96 meV/atom
- Mass density: 9.0 g/cm³
- Total energy: -5.841 eV/atom
- Crystal system: orthorhombic

a = 3.092 Å, b = 3.092 Å, c = 5.886 Å
α = 90.00°, β = 90.00°, γ = 94.75°
Fractional positions:
Cr  0.000  0.000  0.000
Si  0.500  0.500  0.207
Si  0.500  0.500  0.793
Au  0.000  0.000  0.500

***

Density functional theory data (PBE-GGA) for a relaxed CrSi2Au crystal.

Computed properties:
- DOS(E_F): 0.42 states/eV per atom
- Formation energy from raw total energies: 132 meV/atom
- Mass density: 8.5 g/cm³
- Total energy: -5.804 eV/atom
- Crystal system: orthorhombic

a = 5.369 Å, b = 5.369 Å, c = 5.369 Å
α = 141.73°, β = 141.46°, γ = 55.44°
Fractional positions:
Cr  0.000  0.000  0.000
Si  0.544  0.544  0.000
Si  0.825  0.325  0.500
Au  0.249  0.749  0.500

***

Density functional theory data (PBE-GGA) for a relaxed CrSi2Au crystal.

Computed properties:
- DOS(E_F): 0.39 states/eV per atom
- Formation energy from raw total energies: 56 meV/atom
- Mass density: 8.8 g/cm³
- Total energy: -5.880 eV/atom
- Crystal system: monoclinic

a = 4.541 Å, b = 4.541 Å, c = 4.420 Å
α = 105.04°, β = 105.04°, γ = 41.13°
Fractional positions:
Cr  0.000  0.000  0.000
Si  0.475  0.475  0.407
Si  0.728  0.728  0.074
Au  0.231  0.231  0.608

***

Density functional theory data (PBE-GGA) for a relaxed CrSi2Au crystal.

Computed properties:
- DOS(E_F): 0.72 states/eV per atom
- Formation energy from raw total energies: 197 meV/atom
- Mass density: 8.7 g/cm³
- Total energy: -5.739 eV/atom
- Crystal system: tetragonal

a = 4.062 Å, b = 4.062 Å, c = 3.548 Å
α = 90.00°, β = 90.00°, γ = 90.00°
Fractional positions:
Cr  0.000  0.000  0.000
Si  0.000  0.500  0.500
Si  0.500  0.000  0.500
Au  0.500  0.500  0.000